A relaxed RePtW2 crystal. Source: Alexandria, functional GGA-PBE.

Properties
M_tot in μB per formula unit: 0.00
E above lowest polymorph in meV per atom: 40
Energy of formation from the pure elements in eV/f.u.: -0.22

Structure (POSCAR):
```
RePtW2
1.0
2.803 -4.003 0.000
2.803 4.003 0.000
0.000 0.000 2.777
Re Pt W
1 1 2
Direct
0.000 0.000 0.000
0.500 0.500 0.000
0.000 0.500 0.500
0.500 0.000 0.500
```

A relaxed LiTbCu2Ge2 crystal. Source: Alexandria, functional GGA-PBE.

Properties
M_tot in μB per formula unit: 0.00
Energy of formation from the pure elements in eV/f.u.: -2.89

Structure (POSCAR):
```
LiTbCu2Ge2
1.0
4.172 0.000 0.000
-2.086 3.613 0.000
0.000 0.000 6.620
Li Tb Cu Ge
1 1 2 2
Direct
0.000 0.000 0.000
0.000 0.000 0.500
0.333 0.667 0.171
0.667 0.333 0.829
0.333 0.667 0.776
0.667 0.333 0.224
```